# 1
Compound: YZrNi2
Source: the Alexandria database
Functional: GGA-PBE
Structure: relaxed

Properties
Energy of formation, eV/atom: 0.087

a = 7.1302 Å, b = 7.1302 Å, c = 6.0710 Å
α = 90.00°, β = 90.00°, γ = 90.00°
Last column: nearest neighbours and their distance in Å.
Positions (direct):
Y (0.0000, 0.0000, 0.0000)  4 Ni 2.74, 2 Zr 3.04
Y (0.0000, 0.5000, 0.2500)  4 Ni 2.74, 2 Zr 3.04
Y (0.5000, 0.0000, 0.7500)  4 Ni 2.74, 2 Zr 3.04
Y (0.5000, 0.5000, 0.5000)  4 Ni 2.74, 2 Zr 3.04
Zr (0.0000, 0.0000, 0.5000)  4 Ni 2.53
Zr (0.0000, 0.5000, 0.7500)  4 Ni 2.53
Zr (0.5000, 0.0000, 0.2500)  4 Ni 2.53
Zr (0.5000, 0.5000, 0.0000)  4 Ni 2.53
Ni (0.2280, 0.2500, 0.6250)  2 Zr 2.53, 2 Y 2.74
Ni (0.2500, 0.7280, 0.8750)  2 Zr 2.53, 2 Y 2.74
Ni (0.2500, 0.7720, 0.3750)  2 Zr 2.53, 2 Y 2.74
Ni (0.2720, 0.2500, 0.1250)  2 Zr 2.53, 2 Y 2.74
Ni (0.7280, 0.7500, 0.1250)  2 Zr 2.53, 2 Y 2.74
Ni (0.7500, 0.2280, 0.3750)  2 Zr 2.53, 2 Y 2.74
Ni (0.7500, 0.2720, 0.8750)  2 Zr 2.53, 2 Y 2.74
Ni (0.7720, 0.7500, 0.6250)  2 Zr 2.53, 2 Y 2.74

***

# 2
Compound: Y2ZrNi
Source: the Alexandria database
Functional: GGA-PBE
Structure: relaxed

Properties
Energy of formation, eV/atom: -0.105

a = 3.4181 Å, b = 3.4181 Å, c = 8.0090 Å
α = 90.00°, β = 90.00°, γ = 90.00°
Last column: nearest neighbours and their distance in Å.
Positions (direct):
Y (0.0000, 0.0000, 0.2077)  4 Ni 2.93
Y (0.0000, 0.0000, 0.7923)  4 Ni 2.93
Zr (0.5000, 0.5000, 0.5000)  8 Y 3.36, 4 Zr 3.42
Ni (0.5000, 0.5000, 0.0000)  8 Y 2.93

***

# 3
Compound: YZrNi2
Source: the Alexandria database
Functional: GGA-PBE
Structure: relaxed

Properties
Energy of formation, eV/atom: -0.437

a = 5.1789 Å, b = 4.2962 Å, c = 7.0369 Å
α = 90.00°, β = 108.65°, γ = 90.00°
Last column: nearest neighbours and their distance in Å.
Positions (direct):
Y (0.2237, 0.2500, 0.4267)  7 Ni 2.82-3.03
Y (0.7763, 0.7500, 0.5733)  7 Ni 2.82-3.03
Zr (0.2173, 0.2500, 0.9359)  7 Ni 2.61-2.73
Zr (0.7827, 0.7500, 0.0641)  7 Ni 2.61-2.73
Ni (0.3392, 0.7500, 0.1785)  2 Ni 2.64, 4 Zr 2.67-2.73, 2 Y 2.95
Ni (0.3476, 0.7500, 0.7477)  3 Zr 2.61-2.72, 2 Ni 2.64, 2 Y 2.82-2.86
Ni (0.6524, 0.2500, 0.2523)  3 Zr 2.61-2.72, 2 Ni 2.64, 2 Y 2.82-2.86
Ni (0.6608, 0.2500, 0.8215)  2 Ni 2.64, 4 Zr 2.67-2.73, 2 Y 2.95

***

# 4
Compound: YZr3Ni
Source: the Alexandria database
Functional: GGA-PBE
Structure: relaxed

Properties
Energy of formation, eV/atom: 1.741

a = 5.1338 Å, b = 5.1338 Å, c = 5.1338 Å
α = 90.00°, β = 90.00°, γ = 90.00°
Last column: nearest neighbours and their distance in Å.
Positions (direct):
Y (0.0000, 0.0000, 0.0000)  6 Zr 2.57
Zr (0.0000, 0.0000, 0.5000)  2 Y 2.57
Zr (0.0000, 0.5000, 0.0000)  2 Y 2.57
Zr (0.5000, 0.0000, 0.0000)  2 Y 2.57
Ni (0.5000, 0.5000, 0.5000)  12 Zr 3.63

***

# 5
Compound: Y2ZrNi
Source: the Alexandria database
Functional: GGA-PBE
Structure: relaxed

Properties
Energy of formation, eV/atom: 0.034

a = 3.4568 Å, b = 3.4568 Å, c = 28.0385 Å
α = 90.00°, β = 90.00°, γ = 120.00°
Last column: nearest neighbours and their distance in Å.
Positions (direct):
Y (0.0000, 0.0000, 0.2356)  3 Ni 2.78
Y (0.0000, 0.0000, 0.7644)  3 Ni 2.78
Y (0.3333, 0.6667, 0.4311)  3 Ni 2.78
Y (0.3333, 0.6667, 0.9022)  3 Ni 2.78
Y (0.6667, 0.3333, 0.0978)  3 Ni 2.78
Y (0.6667, 0.3333, 0.5689)  3 Ni 2.78
Zr (0.0000, 0.0000, 0.0000)  6 Y 3.39, 6 Zr 3.46
Zr (0.3333, 0.6667, 0.6667)  6 Y 3.39, 6 Zr 3.46
Zr (0.6667, 0.3333, 0.3333)  6 Y 3.39, 6 Zr 3.46
Ni (0.0000, 0.0000, 0.5000)  6 Y 2.78
Ni (0.3333, 0.6667, 0.1667)  6 Y 2.78
Ni (0.6667, 0.3333, 0.8333)  6 Y 2.78

***

# 6
Compound: YZr2Ni2
Source: the Alexandria database
Functional: GGA-PBE
Structure: relaxed

Properties
Energy of formation, eV/atom: -0.002

a = 4.6762 Å, b = 4.6762 Å, c = 9.8138 Å
α = 90.00°, β = 90.00°, γ = 90.00°
Last column: nearest neighbours and their distance in Å.
Positions (direct):
Y (0.0000, 0.0000, 0.0000)  8 Ni 3.39, 10 Zr 3.40-3.63
Y (0.5000, 0.5000, 0.5000)  8 Ni 3.39, 10 Zr 3.40-3.63
Zr (0.0000, 0.0000, 0.3469)  4 Ni 2.52
Zr (0.0000, 0.0000, 0.6531)  4 Ni 2.52
Zr (0.5000, 0.5000, 0.1531)  4 Ni 2.52
Zr (0.5000, 0.5000, 0.8469)  4 Ni 2.52
Ni (0.0000, 0.5000, 0.2500)  4 Zr 2.52
Ni (0.0000, 0.5000, 0.7500)  4 Zr 2.52
Ni (0.5000, 0.0000, 0.2500)  4 Zr 2.52
Ni (0.5000, 0.0000, 0.7500)  4 Zr 2.52

***

# 7
Compound: Y2ZrNi2
Source: the Alexandria database
Functional: GGA-PBE
Structure: relaxed

Properties
Energy of formation, eV/atom: -0.323

a = 3.7394 Å, b = 6.0641 Å, c = 9.3475 Å
α = 90.00°, β = 90.00°, γ = 90.00°
Last column: nearest neighbours and their distance in Å.
Positions (direct):
Y (0.0000, 0.0000, 0.2000)  4 Ni 2.92
Y (0.0000, 0.0000, 0.8000)  4 Ni 2.92
Y (0.5000, 0.5000, 0.3000)  4 Ni 2.92
Y (0.5000, 0.5000, 0.7000)  4 Ni 2.92
Zr (0.0000, 0.5000, 0.0000)  4 Ni 2.58
Zr (0.5000, 0.0000, 0.5000)  4 Ni 2.58
Ni (0.0000, 0.2938, 0.5000)  1 Ni 2.50, 2 Zr 2.58
Ni (0.0000, 0.7062, 0.5000)  1 Ni 2.50, 2 Zr 2.58
Ni (0.5000, 0.2062, 0.0000)  1 Ni 2.50, 2 Zr 2.58
Ni (0.5000, 0.7938, 0.0000)  1 Ni 2.50, 2 Zr 2.58

***

# 8
Compound: YZrNi6
Source: the Alexandria database
Functional: GGA-PBE
Structure: relaxed

Properties
Energy of formation, eV/atom: -0.330

a = 6.5952 Å, b = 6.5952 Å, c = 10.7889 Å
α = 90.00°, β = 90.00°, γ = 109.69°
Last column: nearest neighbours and their distance in Å.
Positions (direct):
Y (0.0000, 0.0000, 0.2486)  12 Ni 2.68-2.74
Y (0.0000, 0.0000, 0.7514)  12 Ni 2.68-2.74
Y (0.2481, 0.7519, 0.5000)  12 Ni 2.68-2.76
Y (0.7519, 0.2481, 0.5000)  12 Ni 2.68-2.76
Zr (0.2488, 0.7512, 0.0000)  12 Ni 2.63-2.71
Zr (0.5000, 0.5000, 0.2488)  12 Ni 2.63-2.71
Zr (0.5000, 0.5000, 0.7512)  12 Ni 2.63-2.71
Zr (0.7512, 0.2488, 0.0000)  12 Ni 2.63-2.71
Ni (0.0000, 0.0000, 0.0000)  2 Y 2.68, 2 Zr 2.68, 8 Ni 2.71
Ni (0.0000, 0.0000, 0.5000)  4 Y 2.68-2.71, 8 Ni 2.74
Ni (0.1281, 0.3816, 0.1212)  8 Ni 2.62-2.73, 3 Zr 2.64-2.69, 1 Y 2.74
Ni (0.1281, 0.3816, 0.8788)  8 Ni 2.62-2.73, 3 Zr 2.64-2.69, 1 Y 2.74
Ni (0.1328, 0.3795, 0.3705)  1 Zr 2.63, 8 Ni 2.65-2.79, 3 Y 2.70-2.75
Ni (0.1328, 0.3795, 0.6295)  1 Zr 2.63, 8 Ni 2.65-2.79, 3 Y 2.70-2.75
Ni (0.2541, 0.7459, 0.2438)  8 Ni 2.62-2.76, 2 Zr 2.63-2.65, 2 Y 2.74-2.76
Ni (0.2541, 0.7459, 0.7562)  8 Ni 2.62-2.76, 2 Zr 2.63-2.65, 2 Y 2.74-2.76
Ni (0.3795, 0.1328, 0.3705)  1 Zr 2.63, 8 Ni 2.65-2.79, 3 Y 2.70-2.75
Ni (0.3795, 0.1328, 0.6295)  1 Zr 2.63, 8 Ni 2.65-2.79, 3 Y 2.70-2.75
Ni (0.3816, 0.1281, 0.1212)  8 Ni 2.62-2.73, 3 Zr 2.64-2.69, 1 Y 2.74
Ni (0.3816, 0.1281, 0.8788)  8 Ni 2.62-2.73, 3 Zr 2.64-2.69, 1 Y 2.74
Ni (0.5000, 0.5000, 0.0000)  8 Ni 2.65, 4 Zr 2.68-2.71
Ni (0.5000, 0.5000, 0.5000)  8 Ni 2.67, 2 Zr 2.71, 2 Y 2.72
Ni (0.6184, 0.8719, 0.1212)  8 Ni 2.62-2.73, 3 Zr 2.64-2.69, 1 Y 2.74
Ni (0.6184, 0.8719, 0.8788)  8 Ni 2.62-2.73, 3 Zr 2.64-2.69, 1 Y 2.74
Ni (0.6205, 0.8672, 0.3705)  1 Zr 2.63, 8 Ni 2.65-2.79, 3 Y 2.70-2.75
Ni (0.6205, 0.8672, 0.6295)  1 Zr 2.63, 8 Ni 2.65-2.79, 3 Y 2.70-2.75
Ni (0.7459, 0.2541, 0.2438)  8 Ni 2.62-2.76, 2 Zr 2.63-2.65, 2 Y 2.74-2.76
Ni (0.7459, 0.2541, 0.7562)  8 Ni 2.62-2.76, 2 Zr 2.63-2.65, 2 Y 2.74-2.76
Ni (0.8672, 0.6205, 0.3705)  1 Zr 2.63, 8 Ni 2.65-2.79, 3 Y 2.70-2.75
Ni (0.8672, 0.6205, 0.6295)  1 Zr 2.63, 8 Ni 2.65-2.79, 3 Y 2.70-2.75
Ni (0.8719, 0.6184, 0.1212)  8 Ni 2.62-2.73, 3 Zr 2.64-2.69, 1 Y 2.74
Ni (0.8719, 0.6184, 0.8788)  8 Ni 2.62-2.73, 3 Zr 2.64-2.69, 1 Y 2.74

***

# 9
Compound: YZrNi2
Source: the Alexandria database
Functional: GGA-PBE
Structure: relaxed

Properties
Energy of formation, eV/atom: -0.008

a = 6.4453 Å, b = 6.4453 Å, c = 6.4453 Å
α = 90.00°, β = 90.00°, γ = 90.00°
Last column: nearest neighbours and their distance in Å.
Positions (direct):
Y (0.0000, 0.0000, 0.0000)  4 Zr 2.79, 4 Ni 2.79
Y (0.0000, 0.5000, 0.5000)  4 Zr 2.79, 4 Ni 2.79
Y (0.5000, 0.0000, 0.5000)  4 Zr 2.79, 4 Ni 2.79
Y (0.5000, 0.5000, 0.0000)  4 Zr 2.79, 4 Ni 2.79
Zr (0.2500, 0.2500, 0.7500)  4 Ni 2.79, 4 Y 2.79
Zr (0.2500, 0.7500, 0.2500)  4 Ni 2.79, 4 Y 2.79
Zr (0.7500, 0.2500, 0.2500)  4 Ni 2.79, 4 Y 2.79
Zr (0.7500, 0.7500, 0.7500)  4 Ni 2.79, 4 Y 2.79
Ni (0.0000, 0.0000, 0.5000)  4 Ni 2.79, 4 Zr 2.79
Ni (0.0000, 0.5000, 0.0000)  4 Ni 2.79, 4 Zr 2.79
Ni (0.2500, 0.2500, 0.2500)  4 Y 2.79, 4 Ni 2.79
Ni (0.2500, 0.7500, 0.7500)  4 Y 2.79, 4 Ni 2.79
Ni (0.5000, 0.0000, 0.0000)  4 Ni 2.79, 4 Zr 2.79
Ni (0.5000, 0.5000, 0.5000)  4 Ni 2.79, 4 Zr 2.79
Ni (0.7500, 0.2500, 0.7500)  4 Y 2.79, 4 Ni 2.79
Ni (0.7500, 0.7500, 0.2500)  4 Y 2.79, 4 Ni 2.79

***

# 10
Compound: YZrNi4
Source: the Alexandria database
Functional: GGA-PBE
Structure: relaxed

Properties
Energy of formation, eV/atom: -0.380

a = 5.0098 Å, b = 5.0098 Å, c = 5.0098 Å
α = 60.00°, β = 60.00°, γ = 60.00°
Last column: nearest neighbours and their distance in Å.
Positions (direct):
Y (0.0000, 0.0000, 0.0000)  12 Ni 2.94, 4 Zr 3.07
Zr (0.2500, 0.2500, 0.2500)  12 Ni 2.94, 4 Y 3.07
Ni (0.1259, 0.6247, 0.6247)  6 Ni 2.50-2.51
Ni (0.6247, 0.1259, 0.6247)  6 Ni 2.50-2.51
Ni (0.6247, 0.6247, 0.1259)  6 Ni 2.50-2.51
Ni (0.6247, 0.6247, 0.6247)  6 Ni 2.50-2.51

***

# 11
Compound: YZrNi2
Source: the Alexandria database
Functional: GGA-PBE
Structure: relaxed

Properties
Energy of formation, eV/atom: -0.312

a = 6.6147 Å, b = 6.6339 Å, c = 3.2719 Å
α = 90.00°, β = 90.00°, γ = 90.00°
Last column: nearest neighbours and their distance in Å.
Positions (direct):
Y (0.0000, 0.0000, 0.0000)  8 Ni 2.86
Y (0.5000, 0.5000, 0.0000)  8 Ni 2.86
Zr (0.0000, 0.5000, 0.0000)  8 Ni 2.86
Zr (0.5000, 0.0000, 0.0000)  8 Ni 2.86
Ni (0.2500, 0.2500, 0.5000)  4 Zr 2.86, 4 Y 2.86
Ni (0.2500, 0.7500, 0.5000)  4 Zr 2.86, 4 Y 2.86
Ni (0.7500, 0.2500, 0.5000)  4 Zr 2.86, 4 Y 2.86
Ni (0.7500, 0.7500, 0.5000)  4 Y 2.86, 4 Zr 2.86

***

# 12
Compound: Y2ZrNi
Source: the Alexandria database
Functional: GGA-PBE
Structure: relaxed

Properties
Energy of formation, eV/atom: -0.120

a = 3.3745 Å, b = 3.3745 Å, c = 8.4201 Å
α = 90.00°, β = 90.00°, γ = 90.00°
Last column: nearest neighbours and their distance in Å.
Positions (direct):
Y (0.0000, 0.0000, 0.0000)  4 Ni 3.02, 1 Zr 3.20, 4 Y 3.37
Y (0.5000, 0.5000, 0.3427)  4 Zr 3.34, 4 Y 3.37, 1 Ni 3.68
Zr (0.0000, 0.0000, 0.6205)  4 Ni 2.74
Ni (0.5000, 0.5000, 0.7801)  4 Zr 2.74, 4 Y 3.02